(1)
## Sm8Te3Se4 (PBE-GGA)

Data for a relaxed structure of Sm8Te3Se4.

Cell lengths 8.572, 8.568, 8.568 Å; angles 90.03, 120.04, 120.04 degrees
Sites, in units of the cell vectors:
1 Sm 0.479 0.228 0.228
2 Sm 0.000 0.760 0.240
3 Sm 0.980 0.232 0.232
4 Sm 0.500 0.764 0.236
5 Sm 0.500 0.236 0.764
6 Sm 0.020 0.768 0.768
7 Sm 0.000 0.240 0.760
8 Sm 0.521 0.772 0.772
9 Te 0.500 0.500 0.000
10 Te 0.500 0.000 0.500
11 Te 0.500 0.500 0.500
12 Se 0.500 0.000 0.000
13 Se 0.000 0.500 0.000
14 Se 0.000 0.000 0.000
15 Se 0.000 0.000 0.500

Values from the calculation:
* uncorrected formation energy: -1.4676 eV/atom

=====

(2)
## Ta2OsW (PBE-GGA)

Data for a relaxed structure of Ta2OsW.

Cell lengths 9.775, 9.775, 9.775 Å; angles 16.74, 16.74, 16.74 degrees
Sites, in units of the cell vectors:
1 Os 0.753 0.753 0.753
2 Ta 0.005 0.005 0.005
3 Ta 0.248 0.248 0.248
4 W 0.495 0.495 0.495

Values from the calculation:
* E above lowest polymorph: 0.509 eV/atom
* energy of formation: 0.2104 eV/atom

=====

(3)
## Cd3SnPt (PBE-GGA)

Data for a relaxed structure of Cd3SnPt.

Cell lengths 5.190, 5.190, 5.190 Å; angles 90.00, 90.00, 90.00 degrees
Sites, in units of the cell vectors:
1 Sn 0.500 0.500 0.500
2 Pt 0.000 0.000 0.000
3 Cd 0.000 0.500 0.000
4 Cd 0.000 0.000 0.500
5 Cd 0.500 0.000 0.000

Values from the calculation:
* E above lowest polymorph: 0.000 eV/atom
* energy of formation: 0.0992 eV/atom

=====

(4)
## In2HgW (PBE-GGA)

Data for a relaxed structure of In2HgW.

Cell lengths 5.470, 5.470, 5.379 Å; angles 83.27, 83.27, 31.30 degrees
Sites, in units of the cell vectors:
1 Hg 0.250 0.250 0.250
2 In 0.017 0.017 0.986
3 In 0.483 0.483 0.514
4 W 0.750 0.750 0.750

Values from the calculation:
* energy of formation: 0.5913 eV/atom

=====

(5)
## Sc7Tl3Sn (PBE-GGA)

Data for a relaxed structure of Sc7Tl3Sn.

Cell lengths 5.499, 7.652, 7.652 Å; angles 90.26, 111.01, 111.01 degrees
Each line ends with the local moment (μB).
Sites, in units of the cell vectors:
1 Sc 0.188 0.187 0.187  0.42
2 Sc 0.328 0.058 0.598  0.48
3 Sc 0.672 0.402 0.942  0.48
4 Sc 0.328 0.598 0.058  0.48
5 Sc 0.000 0.500 0.500  0.10
6 Sc 0.672 0.942 0.402  0.48
7 Sc 0.812 0.813 0.813  0.42
8 Tl 0.000 0.772 0.228  -0.01
9 Tl 0.500 0.000 0.000  0.02
10 Tl 0.000 0.228 0.772  -0.01
11 Sn 0.500 0.500 0.500  -0.02

Values from the calculation:
* energy of formation: -0.0972 eV/atom

=====

(6)
## Ta2FeRe (PBE-GGA)

Data for a relaxed structure of Ta2FeRe.

Cell lengths 5.157, 5.157, 2.765 Å; angles 79.85, 79.85, 114.81 degrees
Each line ends with the local moment (μB).
Sites, in units of the cell vectors:
1 Fe 0.500 0.000 0.500  2.04
2 Re 0.000 0.500 0.500  0.06
3 Ta 0.000 0.000 0.000  -0.11
4 Ta 0.500 0.500 0.000  -0.11

Values from the calculation:
* energy of formation: -0.0451 eV/atom

=====

(7)
## NaFe2Pd (PBE-GGA)

Data for a relaxed structure of NaFe2Pd.

Cell lengths 4.406, 4.406, 4.406 Å; angles 60.00, 60.00, 60.00 degrees
Each line ends with the local moment (μB).
Sites, in units of the cell vectors:
1 Na 0.000 0.000 0.000  0.00
2 Fe 0.250 0.250 0.250  2.98
3 Fe 0.750 0.750 0.750  2.98
4 Pd 0.500 0.500 0.500  0.33

Values from the calculation:
* E above lowest polymorph: 0.000 eV/atom
* energy of formation: 0.5506 eV/atom

=====

(8)
## DyLuSc2 (PBE-GGA)

Data for a relaxed structure of DyLuSc2.

Cell lengths 3.396, 3.396, 11.098 Å; angles 81.20, 81.20, 60.00 degrees
Sites, in units of the cell vectors:
1 Sc 0.751 0.751 0.748
2 Sc 0.249 0.249 0.252
3 Lu 0.500 0.500 0.500
4 Dy 0.000 0.000 0.000

Values from the calculation:
* E above lowest polymorph: 0.003 eV/atom
* energy of formation: 0.0573 eV/atom

=====

(9)
## AgPb2Br (PBE-GGA)

Data for a relaxed structure of AgPb2Br.

Cell lengths 6.083, 6.083, 6.083 Å; angles 142.78, 122.87, 70.18 degrees
Sites, in units of the cell vectors:
1 Pb 0.985 0.985 0.000
2 Pb 0.515 0.515 0.000
3 Br 0.250 0.750 0.500
4 Ag 0.750 0.250 0.500

Values from the calculation:
* uncorrected formation energy: -0.0193 eV/atom
* E above lowest polymorph: 0.115 eV/atom

=====

(10)
## HoThPtRh (PBE-GGA)

Data for a relaxed structure of HoThPtRh.

Cell lengths 5.005, 5.005, 5.005 Å; angles 60.00, 60.00, 60.00 degrees
Sites, in units of the cell vectors:
1 Rh 0.250 0.250 0.250
2 Pt 0.750 0.750 0.750
3 Th 0.500 0.500 0.500
4 Ho 0.000 0.000 0.000

Values from the calculation:
* E above lowest polymorph: 0.172 eV/atom
* energy of formation: -0.9544 eV/atom

=====

(11)
## Na2Ac12Sn5 (PBE-GGA)

Data for a relaxed structure of Na2Ac12Sn5.

Cell lengths 8.274, 10.076, 10.535 Å; angles 95.78, 90.00, 114.24 degrees
Sites, in units of the cell vectors:
1 Na 0.661 0.000 0.000
2 Na 0.339 0.000 0.000
3 Ac 0.974 0.947 0.182
4 Ac 0.062 0.643 0.875
5 Ac 0.582 0.643 0.875
6 Ac 0.104 0.711 0.416
7 Ac 0.607 0.711 0.416
8 Ac 0.479 0.957 0.686
9 Ac 0.521 0.043 0.314
10 Ac 0.896 0.289 0.584
11 Ac 0.393 0.289 0.584
12 Ac 0.938 0.357 0.125
13 Ac 0.418 0.357 0.125
14 Ac 0.026 0.053 0.818
15 Sn 0.291 0.582 0.629
16 Sn 0.343 0.685 0.142
17 Sn 0.000 0.000 0.500
18 Sn 0.657 0.315 0.858
19 Sn 0.709 0.418 0.371

Values from the calculation:
* energy of formation: -0.1742 eV/atom

=====

(12)
## Dy2GeBi (PBE-GGA)

Data for a relaxed structure of Dy2GeBi.

Cell lengths 4.212, 4.412, 11.911 Å; angles 100.67, 90.00, 90.00 degrees
Sites, in units of the cell vectors:
1 Dy 0.750 0.672 0.344
2 Dy 0.250 0.328 0.656
3 Dy 0.750 0.940 0.881
4 Dy 0.250 0.060 0.119
5 Ge 0.250 0.458 0.916
6 Ge 0.750 0.542 0.084
7 Bi 0.250 0.192 0.383
8 Bi 0.750 0.808 0.617

Values from the calculation:
* E above lowest polymorph: 0.000 eV/atom
* energy of formation: -0.7840 eV/atom